Record 1
The following is a DFT calculation (PBEsol) of a geometry-optimized GdCBr structure.

Output
Formation energy from raw total energies, eV/atom: -1.102
Crystal system: monoclinic
Symmetry: No. 12
Fermi-level density of states, states/eV per cell: 1.81

Cell: 3.793 3.974 10.212 Å, 98.60 90.00 118.51°
Site moments in Bohr magnetons follow the coordinates.
Sites, in units of the cell vectors:
Gd 0.413 0.825 0.146  6.88
Gd 0.587 0.175 0.854  6.88
C 0.089 0.178 0.036  -0.04
C 0.911 0.822 0.964  -0.04
Br 0.799 0.597 0.331  -0.01
Br 0.201 0.403 0.669  -0.01

***

Record 2
The following is a DFT calculation (PBEsol) of a geometry-optimized YAgAs2 structure.

Output
Energy of formation, eV per formula unit: -2.273
Crystal system: orthorhombic
Symmetry: No. 44
Fermi-level density of states, states/eV per cell: 1.61

Cell: 4.019 4.039 5.603 Å, 111.13 111.02 90.00°
Sites, in units of the cell vectors:
Y 0.500 0.500 0.001
As 0.999 0.999 0.998
As 0.749 0.249 0.498
Ag 0.251 0.751 0.503

***

Record 3
The following is a DFT calculation (PBEsol) of a geometry-optimized Ru3BrN structure.

Output
Formation energy from raw total energies, eV/atom: 0.783
Crystal system: cubic
Symmetry: No. 221
Fermi-level density of states, states/eV per cell: 6.31

Cell: 4.054 4.054 4.054 Å, 90.00 90.00 90.00°
Sites, in units of the cell vectors:
Ru 0.000 0.500 0.000
Ru 0.000 0.000 0.500
Ru 0.500 0.000 0.000
Br 0.500 0.500 0.500
N 0.000 0.000 0.000

***

Look up the Fermi-level density of states of the first one. 1.81 states/eV per cell